DFT (PBE) results for a relaxed Mg2PCBr crystal.

abc: 4.834 4.834 3.732
angles: 90.00 90.00 90.00
Positions (direct):
Mg 0.000 0.500 0.000
Mg 0.500 0.000 0.000
P 0.000 0.000 0.500
C 0.000 0.000 0.000
Br 0.500 0.500 0.500

Computed properties:
Theoretical density, g/cm³: 3.27
SG: P4/mmm
Raw formation energy, eV/atom: 0.227